No. 1
Here is a geometry-optimized Hf3TiZn8 structure from Alexandria via LeMat-Bulk. Energies are from PBE.

Geometry as extended XYZ:
```
12
Lattice="-4.037 -3.013 1.272 3.863 0.737 3.396 -3.971 6.620 3.081" Properties=species:S:1:pos:R:3 pbc="T T T"
Zn -2.738 6.103 5.767
Ti -2.242 3.738 1.740
Zn -4.974 3.444 2.984
Zn -0.756 2.798 4.229
Zn -3.100 3.801 4.631
Zn -5.058 2.340 5.247
Zn 1.593 1.796 3.827
Zn -0.493 0.239 4.484
Hf -1.670 -1.319 2.187
Zn -0.403 1.415 2.073
Hf -3.687 6.148 2.861
Hf -3.149 1.146 3.334
```

Values from the calculation:
SG ... P3m1 (156)
Volume ... 16.194 A^3/atom
Electronic total energy ... -4.20 eV/atom
D(E_F) ... 8.6 states/eV/cell


No. 2
Here is a geometry-optimized Hf2TiZn structure from Alexandria via LeMat-Bulk. Energies are from PBE.

Geometry as extended XYZ:
```
4
Lattice="-0.600 -3.031 -0.374 0.830 -2.035 2.204 -8.293 -0.552 4.811" Properties=species:S:1:pos:R:3 pbc="T T T"
Hf -2.001 -1.406 1.653
Hf -6.061 -4.211 4.988
Zn 0.000 0.000 0.000
Ti -4.031 -2.809 3.321
```

Values from the calculation:
SG ... R-3m (166)
Volume ... 19.785 A^3/atom
Electronic total energy ... -7.25 eV/atom
D(E_F) ... 4.1 states/eV/cell


No. 3
Here is a geometry-optimized HfTiZn2 structure from Alexandria via LeMat-Bulk. Energies are from PBE.

Geometry as extended XYZ:
```
4
Lattice="2.957 0.000 0.000 1.478 2.561 0.000 1.478 0.854 9.363" Properties=species:S:1:pos:R:3 pbc="T T T"
Hf 2.957 1.707 4.682
Ti 0.000 0.000 0.000
Zn 4.435 2.561 7.118
Zn 1.478 0.854 2.246
```

Values from the calculation:
SG ... R-3m (166)
Volume ... 17.723 A^3/atom
Electronic total energy ... -5.09 eV/atom
D(E_F) ... 3.5 states/eV/cell